No. 1
# RbNaY2 (GGA-PBE, optimized geometry)
data_RbNaY2
_chemical_formula_sum 'Rb4 Na4 Y8'
_space_group_name_H-M_alt 'I -4 2 d'
_space_group_IT_number 122
_space_group_name_Hall 'I -4 2bw'
_cell_length_a 4.7689
_cell_length_b 4.7689
_cell_length_c 28.2911
_cell_angle_alpha 90.00
_cell_angle_beta 90.00
_cell_angle_gamma 90.00
loop_
_atom_site_label
_atom_site_type_symbol
_atom_site_fract_x
_atom_site_fract_y
_atom_site_fract_z
_atom_site_occupancy
Rb1 Rb 0.0000 0.0000 0.0000 1
Na1 Na 0.0000 0.0000 0.5000 1
Y1 Y 0.2437 0.2500 0.6250 1
# Total magnetic moment in μB/cell: 0.00
# Relative energy among the computed polymorphs in meV/atom: 0
# ΔH_f (0 K) in eV/atom: 0.62
# Calculated volume in Å³ per cell: 643

=====

No. 2
# RbNaY2 (GGA-PBE, optimized geometry)
data_RbNaY2
_chemical_formula_sum 'Rb4 Na4 Y8'
_space_group_name_H-M_alt 'F m -3 m'
_space_group_IT_number 225
_space_group_name_Hall '-F 4 2 3'
_cell_length_a 8.5126
_cell_length_b 8.5126
_cell_length_c 8.5126
_cell_angle_alpha 90.00
_cell_angle_beta 90.00
_cell_angle_gamma 90.00
loop_
_atom_site_label
_atom_site_type_symbol
_atom_site_fract_x
_atom_site_fract_y
_atom_site_fract_z
_atom_site_occupancy
Rb1 Rb 0.0000 0.0000 0.0000 1
Na1 Na 0.0000 0.0000 0.5000 1
Y1 Y 0.2500 0.2500 0.2500 1
# Total magnetic moment in μB/cell: 3.57
# Relative energy among the computed polymorphs in meV/atom: 127
# ΔH_f (0 K) in eV/atom: 0.74
# Calculated volume in Å³ per cell: 617

=====

No. 3
# Rb2NaY2 (GGA-PBE, optimized geometry)
data_Rb2NaY2
_chemical_formula_sum 'Rb4 Na2 Y4'
_space_group_name_H-M_alt 'P 4/m b m'
_space_group_IT_number 127
_space_group_name_Hall '-P 4 2ab'
_cell_length_a 12.4169
_cell_length_b 12.4169
_cell_length_c 3.5895
_cell_angle_alpha 90.00
_cell_angle_beta 90.00
_cell_angle_gamma 90.00
loop_
_atom_site_label
_atom_site_type_symbol
_atom_site_fract_x
_atom_site_fract_y
_atom_site_fract_z
_atom_site_occupancy
Rb1 Rb 0.1992 0.3008 0.0000 1
Na1 Na 0.0000 0.0000 0.5000 1
Y1 Y 0.0886 0.5886 0.5000 1
# Total magnetic moment in μB/cell: 0.82
# Relative energy among the computed polymorphs in meV/atom: 0
# ΔH_f (0 K) in eV/atom: 0.69
# Calculated volume in Å³ per cell: 553

=====

No. 4
# RbNa3Y (GGA-PBE, optimized geometry)
data_RbNa3Y
_chemical_formula_sum 'Rb1 Na3 Y1'
_space_group_name_H-M_alt 'P m -3 m'
_space_group_IT_number 221
_space_group_name_Hall '-P 4 2 3'
_cell_length_a 6.7147
_cell_length_b 6.7147
_cell_length_c 6.7147
_cell_angle_alpha 90.00
_cell_angle_beta 90.00
_cell_angle_gamma 90.00
loop_
_atom_site_label
_atom_site_type_symbol
_atom_site_fract_x
_atom_site_fract_y
_atom_site_fract_z
_atom_site_occupancy
Rb1 Rb 0.0000 0.0000 0.0000 1
Na1 Na 0.0000 0.5000 0.5000 1
Y1 Y 0.5000 0.5000 0.5000 1
# Total magnetic moment in μB/cell: 0.00
# Relative energy among the computed polymorphs in meV/atom: 0
# ΔH_f (0 K) in eV/atom: 0.65
# Calculated volume in Å³ per cell: 303

=====

No. 5
# RbNa4Zn (GGA-PBE, optimized geometry)
data_RbNa4Zn
_chemical_formula_sum 'Rb4 Na16 Zn4'
_space_group_name_H-M_alt 'F -4 3 m'
_space_group_IT_number 216
_space_group_name_Hall 'F -4 2 3'
_cell_length_a 9.8544
_cell_length_b 9.8544
_cell_length_c 9.8544
_cell_angle_alpha 90.00
_cell_angle_beta 90.00
_cell_angle_gamma 90.00
loop_
_atom_site_label
_atom_site_type_symbol
_atom_site_fract_x
_atom_site_fract_y
_atom_site_fract_z
_atom_site_occupancy
Rb1 Rb 0.0000 0.0000 0.0000 1
Na1 Na 0.1231 0.1231 0.6231 1
Zn1 Zn 0.2500 0.2500 0.2500 1
# Total magnetic moment in μB/cell: 0.00
# Relative energy among the computed polymorphs in meV/atom: 108
# ΔH_f (0 K) in eV/atom: 0.16
# Calculated volume in Å³ per cell: 957

=====

No. 6
# RbNaZn4 (GGA-PBE, optimized geometry)
data_RbNaZn4
_chemical_formula_sum 'Rb4 Na4 Zn16'
_space_group_name_H-M_alt 'F -4 3 m'
_space_group_IT_number 216
_space_group_name_Hall 'F -4 2 3'
_cell_length_a 8.2469
_cell_length_b 8.2469
_cell_length_c 8.2469
_cell_angle_alpha 90.00
_cell_angle_beta 90.00
_cell_angle_gamma 90.00
loop_
_atom_site_label
_atom_site_type_symbol
_atom_site_fract_x
_atom_site_fract_y
_atom_site_fract_z
_atom_site_occupancy
Rb1 Rb 0.0000 0.0000 0.0000 1
Na1 Na 0.2500 0.2500 0.7500 1
Zn1 Zn 0.1208 0.1208 0.3792 1
# Total magnetic moment in μB/cell: 0.00
# ΔH_f (0 K) in eV/atom: 0.10
# Calculated volume in Å³ per cell: 561

=====

No. 7
# Rb2Na2Zn (GGA-PBE, optimized geometry)
data_Rb2Na2Zn
_chemical_formula_sum 'Rb4 Na4 Zn2'
_space_group_name_H-M_alt 'P 4/m b m'
_space_group_IT_number 127
_space_group_name_Hall '-P 4 2ab'
_cell_length_a 8.5057
_cell_length_b 8.5057
_cell_length_c 6.6371
_cell_angle_alpha 90.00
_cell_angle_beta 90.00
_cell_angle_gamma 90.00
loop_
_atom_site_label
_atom_site_type_symbol
_atom_site_fract_x
_atom_site_fract_y
_atom_site_fract_z
_atom_site_occupancy
Rb1 Rb 0.1862 0.3138 0.0000 1
Na1 Na 0.1496 0.6496 0.5000 1
Zn1 Zn 0.0000 0.0000 0.5000 1
# Total magnetic moment in μB/cell: 0.00
# Relative energy among the computed polymorphs in meV/atom: 0
# ΔH_f (0 K) in eV/atom: 0.14
# Calculated volume in Å³ per cell: 480

=====

No. 8
# Rb2NaZn (GGA-PBE, optimized geometry)
data_Rb2NaZn
_chemical_formula_sum 'Rb6 Na3 Zn3'
_space_group_name_H-M_alt 'R -3 m'
_space_group_IT_number 166
_space_group_name_Hall '-R 3 2"'
_cell_length_a 4.4552
_cell_length_b 4.4552
_cell_length_c 39.2779
_cell_angle_alpha 90.00
_cell_angle_beta 90.00
_cell_angle_gamma 120.00
loop_
_atom_site_label
_atom_site_type_symbol
_atom_site_fract_x
_atom_site_fract_y
_atom_site_fract_z
_atom_site_occupancy
Rb1 Rb 0.0000 0.0000 0.1015 1
Na1 Na 0.0000 0.0000 0.0000 1
Zn1 Zn 0.0000 0.0000 0.5000 1
# Total magnetic moment in μB/cell: 0.00
# ΔH_f (0 K) in eV/atom: 0.24
# Calculated volume in Å³ per cell: 675

=====

No. 9
# Rb2Na4Zn (GGA-PBE, optimized geometry)
data_Rb2Na4Zn
_chemical_formula_sum 'Rb4 Na8 Zn2'
_space_group_name_H-M_alt 'I 4/m m m'
_space_group_IT_number 139
_space_group_name_Hall '-I 4 2'
_cell_length_a 5.9177
_cell_length_b 5.9177
_cell_length_c 20.4945
_cell_angle_alpha 90.00
_cell_angle_beta 90.00
_cell_angle_gamma 90.00
loop_
_atom_site_label
_atom_site_type_symbol
_atom_site_fract_x
_atom_site_fract_y
_atom_site_fract_z
_atom_site_occupancy
Rb1 Rb 0.0000 0.0000 0.1517 1
Na1 Na 0.0000 0.0000 0.3567 1
Na2 Na 0.0000 0.5000 0.0000 1
Zn1 Zn 0.0000 0.0000 0.5000 1
# Total magnetic moment in μB/cell: 0.00
# ΔH_f (0 K) in eV/atom: 0.11
# Calculated volume in Å³ per cell: 718

=====

No. 10
# RbNa3Zn (GGA-PBE, optimized geometry)
data_RbNa3Zn
_chemical_formula_sum 'Rb1 Na3 Zn1'
_space_group_name_H-M_alt 'P m -3 m'
_space_group_IT_number 221
_space_group_name_Hall '-P 4 2 3'
_cell_length_a 5.9673
_cell_length_b 5.9673
_cell_length_c 5.9673
_cell_angle_alpha 90.00
_cell_angle_beta 90.00
_cell_angle_gamma 90.00
loop_
_atom_site_label
_atom_site_type_symbol
_atom_site_fract_x
_atom_site_fract_y
_atom_site_fract_z
_atom_site_occupancy
Rb1 Rb 0.0000 0.0000 0.0000 1
Na1 Na 0.0000 0.5000 0.5000 1
Zn1 Zn 0.5000 0.5000 0.5000 1
# Total magnetic moment in μB/cell: 0.00
# Relative energy among the computed polymorphs in meV/atom: 0
# ΔH_f (0 K) in eV/atom: 0.10
# Calculated volume in Å³ per cell: 212

=====

No. 11
# RbNa4Zn (GGA-PBE, optimized geometry)
data_RbNa4Zn
_chemical_formula_sum 'Rb4 Na16 Zn4'
_space_group_name_H-M_alt 'C 1 2/m 1'
_space_group_IT_number 12
_cell_length_a 20.7909
_cell_length_b 8.3917
_cell_length_c 5.9412
_cell_angle_alpha 90.00
_cell_angle_beta 106.40
_cell_angle_gamma 90.00
loop_
_space_group_symop_operation_xyz
'x,y,z'
'-x,-y,-z'
'-x,y,-z'
'x,-y,z'
'x+1/2,y+1/2,z'
'-x+1/2,-y+1/2,-z'
'-x+1/2,y+1/2,-z'
'x+1/2,-y+1/2,z'
loop_
_atom_site_label
_atom_site_type_symbol
_atom_site_fract_x
_atom_site_fract_y
_atom_site_fract_z
_atom_site_occupancy
Rb1 Rb 0.2148 0.0000 0.2144 1
Na1 Na 0.0000 0.1927 0.0000 1
Na2 Na 0.0930 0.2337 0.5927 1
Na3 Na 0.1329 0.5000 0.1334 1
Zn1 Zn 0.9997 0.5000 0.2785 1
# Total magnetic moment in μB/cell: 0.00
# Relative energy among the computed polymorphs in meV/atom: 0
# ΔH_f (0 K) in eV/atom: 0.05
# Calculated volume in Å³ per cell: 994

=====

No. 12
# RbNa2Zn2 (GGA-PBE, optimized geometry)
data_RbNa2Zn2
_chemical_formula_sum 'Rb2 Na4 Zn4'
_space_group_name_H-M_alt 'P 4/m b m'
_space_group_IT_number 127
_space_group_name_Hall '-P 4 2ab'
_cell_length_a 8.9224
_cell_length_b 8.9224
_cell_length_c 4.1327
_cell_angle_alpha 90.00
_cell_angle_beta 90.00
_cell_angle_gamma 90.00
loop_
_atom_site_label
_atom_site_type_symbol
_atom_site_fract_x
_atom_site_fract_y
_atom_site_fract_z
_atom_site_occupancy
Rb1 Rb 0.0000 0.0000 0.0000 1
Na1 Na 0.1671 0.3329 0.5000 1
Zn1 Zn 0.1023 0.6023 0.0000 1
# Total magnetic moment in μB/cell: 0.00
# Relative energy among the computed polymorphs in meV/atom: 22
# ΔH_f (0 K) in eV/atom: 0.13
# Calculated volume in Å³ per cell: 329